[1]
Below is crystalline RbReHg3 at its relaxed geometry, with properties calculated at the PBE level.

Cell: 6.6382 6.6382 6.6382 Å, 90.00 90.00 90.00°
Closest atoms and distances in Å follow each position.
Element x y z (fractional)
Hg 0.0000 0.5000 0.0000  2 Rb 3.32
Hg 0.0000 0.0000 0.5000  2 Rb 3.32
Hg 0.5000 0.0000 0.0000  2 Rb 3.32
Re 0.5000 0.5000 0.5000  12 Hg 4.69
Rb 0.0000 0.0000 0.0000  6 Hg 3.32

Total moment   4.39 μB per formula unit
Calculated density   4.96 Mg/m³
Distance to the lowest polymorph of the same formula   1104 meV/atom

---

[2]
Below is crystalline RbReHg2 at its relaxed geometry, with properties calculated at the PBE level.

Cell: 5.3219 5.3219 5.3219 Å, 60.00 60.00 60.00°
Closest atoms and distances in Å follow each position.
Element x y z (fractional)
Hg 0.2500 0.2500 0.2500  4 Re 3.26, 4 Rb 3.26
Hg 0.7500 0.7500 0.7500  4 Rb 3.26, 4 Re 3.26
Re 0.5000 0.5000 0.5000  8 Hg 3.26
Rb 0.0000 0.0000 0.0000  8 Hg 3.26

Total moment   3.23 μB per formula unit
Calculated density   10.48 Mg/m³
Distance to the lowest polymorph of the same formula   177 meV/atom

---

[3]
Below is crystalline RbReHg2 at its relaxed geometry, with properties calculated at the PBE level.

Cell: 5.9642 5.9642 9.8332 Å, 72.35 72.35 90.00°
Closest atoms and distances in Å follow each position.
Element x y z (fractional)
Hg 0.8750 0.0800 0.7500  2 Re 2.69
Hg 0.3750 0.1700 0.7500  2 Re 2.69
Hg 0.8300 0.1250 0.2500  2 Re 2.69
Hg 0.9200 0.6250 0.2500  2 Re 2.69
Rb 0.2500 0.7500 0.5000  8 Hg 3.81-4.21, 4 Re 4.22
Rb 0.5000 0.5000 0.0000  8 Hg 3.81-4.21, 4 Re 4.22
Re 0.7500 0.2500 0.5000  4 Hg 2.69
Re 0.0000 0.0000 0.0000  4 Hg 2.69

Total moment   2.09 μB per formula unit
Calculated density   7.07 Mg/m³
Distance to the lowest polymorph of the same formula   0 meV/atom

---

[4]
Below is crystalline RbRe3Hg at its relaxed geometry, with properties calculated at the PBE level.

Cell: 4.7519 4.7519 4.7519 Å, 90.00 90.00 90.00°
Closest atoms and distances in Å follow each position.
Element x y z (fractional)
Re 0.5000 0.0000 0.0000  2 Rb 2.38
Re 0.0000 0.5000 0.0000  2 Rb 2.38
Re 0.0000 0.0000 0.5000  2 Rb 2.38
Rb 0.0000 0.0000 0.0000  6 Re 2.38
Hg 0.5000 0.5000 0.5000  12 Re 3.36

Total moment   2.63 μB per formula unit
Calculated density   13.07 Mg/m³
Distance to the lowest polymorph of the same formula   924 meV/atom

---

[5]
Below is crystalline RbRe3Hg at its relaxed geometry, with properties calculated at the PBE level.

Cell: 5.2910 5.2910 5.2910 Å, 90.00 90.00 90.00°
Closest atoms and distances in Å follow each position.
Element x y z (fractional)
Re 0.0000 0.5000 0.0000  2 Hg 2.65
Re 0.0000 0.0000 0.5000  2 Hg 2.65
Re 0.5000 0.0000 0.0000  2 Hg 2.65
Hg 0.0000 0.0000 0.0000  6 Re 2.65
Rb 0.5000 0.5000 0.5000  12 Re 3.74

Total moment   10.28 μB per formula unit
Calculated density   9.47 Mg/m³
Distance to the lowest polymorph of the same formula   0 meV/atom

---

[6]
Below is crystalline RbRe2Hg at its relaxed geometry, with properties calculated at the PBE level.

Cell: 4.6184 4.6184 10.7651 Å, 77.61 77.61 90.00°
Closest atoms and distances in Å follow each position.
Element x y z (fractional)
Re 0.8750 0.1975 0.7500  2 Re 2.40
Re 0.9475 0.1250 0.2500  2 Re 2.40
Re 0.8025 0.6250 0.2500  2 Re 2.40
Re 0.3750 0.0525 0.7500  2 Re 2.40
Rb 0.2500 0.7500 0.5000  4 Hg 3.27, 4 Re 3.44
Rb 0.5000 0.5000 0.0000  4 Hg 3.27, 4 Re 3.44
Hg 0.7500 0.2500 0.5000  4 Re 2.83
Hg 0.0000 0.0000 0.0000  4 Re 2.83

Total moment   0.73 μB per formula unit
Calculated density   9.99 Mg/m³
Total energy   -4.926 eV/atom